A plane-wave DFT calculation with PBE-GGA was carried out for a relaxed structure of Er2Zn3Ni2.

Spin magnetization = 0.0 Bohr magnetons per cell
Formation energy from the elements = -0.3362 eV/atom
Electronic total energy = -3.773 eV per atom

a = 9.6195 Å, b = 9.6195 Å, c = 3.5072 Å
α = 90.00°, β = 90.00°, γ = 157.11°
Atoms (fractional coordinates):
Er: 0.8348 0.1652 0.0000
Er: 0.1652 0.8348 0.0000
Ni: 0.7086 0.2914 0.5000
Ni: 0.2914 0.7086 0.5000
Zn: 0.0000 0.0000 0.0000
Zn: 0.5709 0.4291 0.5000
Zn: 0.4291 0.5709 0.5000